#A
The following is a PBE calculation of an optimized crystal structure of TaMoRh, from the Alexandria database.

The structure in POSCAR format:
```
TaMoRh
1.0
6.084 0.000 0.000
0.000 6.084 0.000
0.000 0.000 6.084
Ta Mo Rh
4 4 4
Cartesian
0.000 0.000 0.000 Ta
0.000 3.042 3.042 Ta
3.042 0.000 3.042 Ta
3.042 3.042 0.000 Ta
0.000 0.000 3.042 Mo
0.000 3.042 0.000 Mo
3.042 0.000 0.000 Mo
3.042 3.042 3.042 Mo
1.521 1.521 4.563 Rh
1.521 4.563 1.521 Rh
4.563 1.521 1.521 Rh
4.563 4.563 4.563 Rh
```

Calculated volume   56.3 Å³/f.u.
Space group   F-43m, No. 216

***

#B
The following is a PBE calculation of an optimized crystal structure of TaMoRh, from the Alexandria database.

The structure in POSCAR format:
```
TaMoRh
1.0
3.244 0.000 0.000
0.000 3.244 0.000
0.000 0.000 9.277
Ta Mo Rh
2 2 2
Cartesian
0.000 0.000 0.000 Ta
1.622 1.622 4.638 Ta
0.000 0.000 6.137 Mo
1.622 1.622 1.499 Mo
0.000 0.000 3.119 Rh
1.622 1.622 7.757 Rh
```

Calculated volume   48.8 Å³/f.u.
Space group   I4mm, No. 107

***

Stability check: which of them is most stable? #B.

***

#A
The following is a PBE calculation of an optimized crystal structure of Ta2MoRh2, from the Alexandria database.

The structure in POSCAR format:
```
Ta2MoRh2
1.0
7.510 0.000 0.000
0.000 7.510 0.000
0.000 0.000 2.939
Ta Mo Rh
4 2 4
Cartesian
1.278 2.477 0.000 Ta
2.477 6.232 0.000 Ta
5.033 1.278 0.000 Ta
6.232 5.033 0.000 Ta
0.000 0.000 1.469 Mo
3.755 3.755 1.469 Mo
0.975 4.730 1.469 Rh
2.780 0.975 1.469 Rh
4.730 6.535 1.469 Rh
6.535 2.780 1.469 Rh
```

Calculated volume   82.9 Å³/f.u.
Space group   P4/mbm, No. 127

***

#B
The following is a PBE calculation of an optimized crystal structure of Ta2MoRh2, from the Alexandria database.

The structure in POSCAR format:
```
Ta2MoRh2
1.0
4.035 0.000 0.000
0.000 4.035 0.000
0.000 0.000 11.148
Ta Mo Rh
4 2 4
Cartesian
0.000 2.017 2.787 Ta
0.000 2.017 8.361 Ta
2.017 0.000 2.787 Ta
2.017 0.000 8.361 Ta
0.000 0.000 0.000 Mo
2.017 2.017 5.574 Mo
0.000 0.000 4.377 Rh
0.000 0.000 6.771 Rh
2.017 2.017 1.197 Rh
2.017 2.017 9.951 Rh
```

Calculated volume   90.7 Å³/f.u.
Space group   I4/mmm, No. 139

***

Stability check: which of them is most stable? #A.

***

#A
The following is a PBE calculation of an optimized crystal structure of TcMoRh, from the Alexandria database.

The structure in POSCAR format:
```
TcMoRh
1.0
2.737 0.000 0.000
-1.368 2.370 0.000
0.000 0.000 6.885
Tc Mo Rh
1 1 1
Cartesian
0.000 0.000 0.000 Tc
0.000 1.580 2.339 Mo
1.368 0.790 4.628 Rh
```

Calculated volume   44.7 Å³/f.u.
Space group   P3m1, No. 156

***

#B
The following is a PBE calculation of an optimized crystal structure of TcMoRh, from the Alexandria database.

The structure in POSCAR format:
```
TcMoRh
1.0
4.778 0.000 0.000
0.000 4.434 0.000
0.000 0.000 8.390
Tc Mo Rh
4 4 4
Cartesian
0.746 1.108 0.047 Tc
1.643 3.325 4.241 Tc
3.135 1.108 4.148 Tc
4.032 3.325 8.343 Tc
0.777 1.108 5.587 Mo
1.612 3.325 1.393 Mo
3.166 1.108 6.997 Mo
4.001 3.325 2.802 Mo
0.805 1.108 2.798 Rh
1.584 3.325 6.993 Rh
3.194 1.108 1.396 Rh
3.974 3.325 5.591 Rh
```

Calculated volume   44.4 Å³/f.u.
Space group   Pnma, No. 62

***

#C
The following is a PBE calculation of an optimized crystal structure of TcMoRh, from the Alexandria database.

The structure in POSCAR format:
```
TcMoRh
1.0
2.727 0.000 0.000
0.000 2.727 0.000
0.000 0.000 11.968
Tc Mo Rh
2 2 2
Cartesian
0.000 0.000 0.000 Tc
1.364 1.364 5.984 Tc
0.000 0.000 3.913 Mo
1.364 1.364 9.897 Mo
0.000 0.000 7.899 Rh
1.364 1.364 1.915 Rh
```

Calculated volume   44.5 Å³/f.u.
Space group   I4mm, No. 107

***

Stability check: which of them is most stable? #B.